1.
Material: CePmNd6Tm2
Method: DFT, PBE
State: optimized geometry

a = 8.910 Å, b = 7.022 Å, c = 6.648 Å
α = 121.87°, β = 100.62°, γ = 90.00°
Site moments in Bohr magnetons follow the coordinates.
Fractional coordinates of all 10 atoms:
Ce 0.000 0.500 0.000  0.78
Pm 0.500 0.000 0.000  -0.01
Nd 0.420 0.632 0.263  0.02
Nd 0.200 0.065 0.662  0.02
Nd 0.800 0.403 0.338  0.02
Nd 0.200 0.597 0.662  0.02
Nd 0.800 0.935 0.338  0.02
Nd 0.580 0.368 0.737  0.02
Tm 0.158 0.093 0.185  0.04
Tm 0.842 0.907 0.815  0.04

Properties
- Calculated density: 7169 kg/m³
- Size of the total moment: 1.323 Bohr magnetons per cell
- SG: No. 12
- ΔE_f: 0.2364 eV per atom
- VASP energy: -4.587 eV per atom

2.
Material: Tb2DyErP4
Method: DFT, PBE
State: optimized geometry

a = 4.010 Å, b = 6.941 Å, c = 6.940 Å
α = 109.47°, β = 90.00°, γ = 90.00°
Fractional coordinates of all 8 atoms:
Tb 0.500 0.000 0.500
Tb 0.000 0.500 0.500
Dy 0.000 0.000 0.000
Er 0.500 0.500 0.000
P 0.500 0.250 0.248
P 0.500 0.750 0.752
P 0.000 0.252 0.753
P 0.000 0.748 0.247

Properties
- Calculated density: 7035 kg/m³
- Size of the total moment: 0.000 Bohr magnetons per cell
- SG: No. 10
- ΔE_f: -1.6128 eV per atom
- VASP energy: -6.621 eV per atom

3.
Material: BRuF2
Method: DFT, PBE
State: optimized geometry

a = 4.005 Å, b = 4.005 Å, c = 4.005 Å
α = 60.00°, β = 60.00°, γ = 60.00°
Site moments in Bohr magnetons follow the coordinates.
Fractional coordinates of all 4 atoms:
Ru 0.500 0.500 0.500  2.74
B 0.000 0.000 0.000  -0.06
F 0.250 0.250 0.250  0.13
F 0.750 0.750 0.750  0.13

Properties
- Calculated density: 5479 kg/m³
- Raw formation energy: 0.443 eV per atom
- Size of the total moment: 3.000 Bohr magnetons per cell
- SG: No. 225
- VASP energy: -4.480 eV per atom
- Offset from the most stable computed form: 322.6 kJ/mol of formula units

4.
Material: LaCo2Ru
Method: DFT, PBE
State: optimized geometry

a = 4.135 Å, b = 4.107 Å, c = 4.533 Å
α = 74.41°, β = 90.00°, γ = 90.00°
Site moments in Bohr magnetons follow the coordinates.
Fractional coordinates of all 4 atoms:
Co 0.000 0.020 0.981  0.57
Co 0.500 0.203 0.144  0.72
La 0.000 0.515 0.482  -0.06
Ru 0.500 0.763 0.893  0.28

Properties
- Calculated density: 8014 kg/m³
- Size of the total moment: 1.450 Bohr magnetons per cell
- SG: No. 6
- ΔE_f: 0.2430 eV per atom
- VASP energy: -6.861 eV per atom

5.
Material: Nd2MgSe
Method: DFT, PBE
State: optimized geometry

a = 4.100 Å, b = 4.100 Å, c = 8.587 Å
α = 76.19°, β = 76.19°, γ = 60.00°
Fractional coordinates of all 4 atoms:
Mg 0.500 0.500 0.500
Nd 0.262 0.262 0.213
Nd 0.738 0.738 0.787
Se 0.000 0.000 0.000

Properties
- Calculated density: 5414 kg/m³
- Raw formation energy: -0.861 eV per atom
- Size of the total moment: 0.000 Bohr magnetons per cell
- SG: No. 166
- VASP energy: -4.515 eV per atom
- Offset from the most stable computed form: 0.0 kJ/mol of formula units

6.
Material: LiMgReP2
Method: DFT, PBE
State: optimized geometry

a = 4.251 Å, b = 4.231 Å, c = 4.251 Å
α = 90.00°, β = 90.00°, γ = 90.00°
Fractional coordinates of all 5 atoms:
Re 0.000 0.500 0.000
Mg 0.500 0.500 0.500
Li 0.000 0.000 0.000
P 0.000 0.000 0.500
P 0.500 0.000 0.000

Properties
- Calculated density: 6068 kg/m³
- Size of the total moment: 0.009 Bohr magnetons per cell
- SG: No. 123
- ΔE_f: 0.9430 eV per atom
- VASP energy: -4.412 eV per atom

7.
Material: Ac2GdTm
Method: DFT, PBE
State: optimized geometry

a = 5.092 Å, b = 5.436 Å, c = 5.436 Å
α = 90.00°, β = 90.00°, γ = 90.00°
Site moments in Bohr magnetons follow the coordinates.
Fractional coordinates of all 4 atoms:
Gd 0.500 0.500 0.500  7.16
Ac 0.000 0.000 0.500  -0.01
Ac 0.000 0.500 0.000  -0.01
Tm 0.500 0.000 0.000  -0.02

Properties
- Calculated density: 8611 kg/m³
- Size of the total moment: 7.358 Bohr magnetons per cell
- SG: No. 123
- ΔE_f: 0.0477 eV per atom
- VASP energy: -6.645 eV per atom
- Offset from the most stable computed form: 0.3 kJ/mol of formula units

8.
Material: UAsAu4
Method: DFT, PBE
State: optimized geometry

a = 5.594 Å, b = 5.594 Å, c = 5.594 Å
α = 60.00°, β = 60.00°, γ = 60.00°
Site moments in Bohr magnetons follow the coordinates.
Fractional coordinates of all 6 atoms:
Au 0.625 0.625 0.125  0.00
Au 0.625 0.125 0.625  0.00
Au 0.625 0.625 0.625  0.00
Au 0.125 0.625 0.625  0.00
As 0.000 0.000 0.000  -0.03
U 0.250 0.250 0.250  2.67

Properties
- Calculated density: 14766 kg/m³
- Size of the total moment: 2.874 Bohr magnetons per cell
- SG: No. 216
- ΔE_f: -0.0266 eV per atom
- VASP energy: -4.868 eV per atom

9.
Material: Cd2TeRu
Method: DFT, PBE
State: optimized geometry

a = 3.177 Å, b = 3.177 Å, c = 8.822 Å
α = 90.00°, β = 90.00°, γ = 90.00°
Fractional coordinates of all 4 atoms:
Cd 0.000 0.000 0.029
Cd 0.500 0.500 0.288
Ru 0.000 0.000 0.510
Te 0.500 0.500 0.674

Properties
- Calculated density: 8457 kg/m³
- Raw formation energy: 0.045 eV per atom
- Size of the total moment: 0.000 Bohr magnetons per cell
- SG: No. 99
- VASP energy: -3.517 eV per atom
- Offset from the most stable computed form: 0.0 kJ/mol of formula units

10.
Material: TbPr2Dy
Method: DFT, PBE
State: optimized geometry

a = 5.083 Å, b = 5.159 Å, c = 5.159 Å
α = 90.00°, β = 90.00°, γ = 90.00°
Fractional coordinates of all 4 atoms:
Pr 0.000 0.000 0.500
Pr 0.000 0.500 0.000
Tb 0.500 0.500 0.500
Dy 0.500 0.000 0.000

Properties
- Calculated density: 7403 kg/m³
- Size of the total moment: 0.000 Bohr magnetons per cell
- SG: No. 123
- ΔE_f: 0.0191 eV per atom
- VASP energy: -4.679 eV per atom
- Offset from the most stable computed form: 3.1 kJ/mol of formula units

11.
Material: Tm2CoCuC
Method: DFT, PBE
State: optimized geometry

a = 3.595 Å, b = 4.847 Å, c = 4.847 Å
α = 90.00°, β = 90.00°, γ = 90.00°
Fractional coordinates of all 5 atoms:
Tm 0.000 0.000 0.500
Tm 0.000 0.500 0.000
Co 0.500 0.000 0.000
Cu 0.500 0.500 0.500
C 0.000 0.000 0.000

Properties
- Calculated density: 9288 kg/m³
- Size of the total moment: 0.000 Bohr magnetons per cell
- SG: No. 123
- ΔE_f: -0.3623 eV per atom
- VASP energy: -6.236 eV per atom

12.
Material: Sc8As3PS4
Method: DFT, PBE
State: optimized geometry

a = 7.553 Å, b = 7.547 Å, c = 7.553 Å
α = 120.03°, β = 120.00°, γ = 90.00°
Fractional coordinates of all 16 atoms:
Sc 0.246 0.748 0.002
Sc 0.246 0.749 0.492
Sc 0.249 0.247 0.498
Sc 0.756 0.748 0.002
Sc 0.244 0.252 0.998
Sc 0.751 0.753 0.502
Sc 0.754 0.251 0.508
Sc 0.754 0.252 0.998
As 0.500 0.500 0.000
As 0.500 0.500 0.500
As 0.000 0.500 0.500
P 0.000 0.500 0.000
S 0.500 0.000 0.000
S 0.500 0.000 0.500
S 0.000 0.000 0.000
S 0.000 0.000 0.500

Properties
- Calculated density: 4058 kg/m³
- Raw formation energy: -1.666 eV per atom
- Size of the total moment: 0.000 Bohr magnetons per cell
- SG: No. 166
- VASP energy: -7.074 eV per atom

13.
Material: MgOs2W
Method: DFT, PBE
State: optimized geometry

a = 4.239 Å, b = 2.766 Å, c = 5.449 Å
α = 76.48°, β = 90.00°, γ = 90.00°
Fractional coordinates of all 4 atoms:
Mg 0.500 0.750 0.750
Os 0.000 0.080 0.006
Os 0.000 0.420 0.494
W 0.500 0.250 0.250

Properties
- Calculated density: 15733 kg/m³
- Size of the total moment: 0.000 Bohr magnetons per cell
- SG: No. 10
- ΔE_f: 0.2757 eV per atom
- VASP energy: -8.976 eV per atom

14.
Material: AuCF2
Method: DFT, PBE
State: optimized geometry

a = 9.865 Å, b = 9.865 Å, c = 9.865 Å
α = 15.47°, β = 15.47°, γ = 15.47°
Fractional coordinates of all 4 atoms:
C 0.000 0.000 0.000
Au 0.500 0.500 0.500
F 0.953 0.953 0.953
F 0.047 0.047 0.047

Properties
- Calculated density: 6888 kg/m³
- Raw formation energy: 0.394 eV per atom
- Size of the total moment: 0.000 Bohr magnetons per cell
- SG: No. 166
- VASP energy: -3.667 eV per atom
- Offset from the most stable computed form: 0.0 kJ/mol of formula units

15.
Material: Cs2AgPd
Method: DFT, PBE
State: optimized geometry

a = 9.062 Å, b = 9.062 Å, c = 9.062 Å
α = 95.12°, β = 95.12°, γ = 145.25°
Fractional coordinates of all 8 atoms:
Cs 0.625 0.287 0.162
Cs 0.125 0.463 0.838
Cs 0.713 0.875 0.338
Cs 0.537 0.375 0.662
Ag 0.000 0.000 0.000
Ag 0.250 0.750 0.500
Pd 0.500 0.500 0.000
Pd 0.750 0.250 0.500

Properties
- Calculated density: 3939 kg/m³
- Size of the total moment: 0.000 Bohr magnetons per cell
- SG: No. 122
- ΔE_f: 0.1053 eV per atom
- VASP energy: -2.332 eV per atom
- Offset from the most stable computed form: 27.5 kJ/mol of formula units

16.
Material: Li12Ce3Pr5
Method: DFT, PBE
State: optimized geometry

a = 14.992 Å, b = 14.992 Å, c = 14.992 Å
α = 109.47°, β = 109.47°, γ = 109.47°
Site moments in Bohr magnetons follow the coordinates.
Fractional coordinates of all 80 atoms:
Ce 0.750 0.375 0.125  1.32
Ce 0.875 0.750 0.125  1.32
Ce 0.375 0.750 0.625  1.32
Ce 0.250 0.125 0.375  1.32
Ce 0.875 0.125 0.250  1.32
Ce 0.375 0.625 0.250  1.32
Ce 0.625 0.375 0.750  1.32
Ce 0.125 0.875 0.750  1.32
Ce 0.750 0.875 0.625  1.32
Ce 0.625 0.250 0.375  1.32
Ce 0.125 0.250 0.875  1.32
Ce 0.250 0.625 0.875  1.32
Pr 0.125 0.375 0.250  0.29
Pr 0.000 0.500 0.000  0.45
Pr 0.000 0.000 0.000  0.45
Pr 0.375 0.250 0.125  0.29
Pr 0.500 0.000 0.500  0.45
Pr 0.500 0.500 0.000  0.45
Pr 0.125 0.750 0.375  0.29
Pr 0.750 0.125 0.875  0.29
Pr 0.750 0.625 0.375  0.29
Pr 0.375 0.125 0.750  0.29
Pr 0.625 0.875 0.250  0.29
Pr 0.500 0.500 0.500  0.45
Pr 0.500 0.000 0.000  0.45
Pr 0.000 0.000 0.500  0.45
Pr 0.250 0.375 0.625  0.29
Pr 0.250 0.875 0.125  0.29
Pr 0.000 0.500 0.500  0.45
Pr 0.875 0.250 0.625  0.29
Pr 0.625 0.750 0.875  0.29
Pr 0.875 0.625 0.750  0.29
Li 0.734 0.154 0.086  0.07
Li 0.352 0.586 0.432  0.07
Li 0.914 0.346 0.266  0.07
Li 0.586 0.234 0.154  0.07
Li 0.581 0.734 0.648  0.07
Li 0.914 0.568 0.148  0.07
Li 0.352 0.766 0.419  0.07
Li 0.068 0.919 0.154  0.07
Li 0.568 0.914 0.648  0.07
Li 0.734 0.581 0.148  0.07
Li 0.766 0.414 0.346  0.07
Li 0.852 0.932 0.086  0.07
Li 0.154 0.734 0.586  0.07
Li 0.346 0.432 0.081  0.07
Li 0.081 0.932 0.346  0.07
Li 0.419 0.154 0.568  0.07
Li 0.081 0.148 0.234  0.07
Li 0.414 0.648 0.068  0.07
Li 0.852 0.919 0.266  0.07
Li 0.154 0.419 0.068  0.07
Li 0.346 0.914 0.766  0.07
Li 0.568 0.654 0.419  0.07
Li 0.932 0.852 0.586  0.07
Li 0.766 0.352 0.919  0.07
Li 0.432 0.346 0.581  0.07
Li 0.068 0.148 0.414  0.07
Li 0.234 0.648 0.081  0.07
Li 0.148 0.081 0.734  0.07
Li 0.654 0.086 0.234  0.07
Li 0.846 0.581 0.932  0.07
Li 0.586 0.352 0.932  0.07
Li 0.581 0.846 0.432  0.07
Li 0.919 0.852 0.766  0.07
Li 0.919 0.068 0.654  0.07
Li 0.846 0.266 0.414  0.07
Li 0.148 0.068 0.914  0.07
Li 0.654 0.568 0.919  0.07
Li 0.432 0.086 0.352  0.07
Li 0.266 0.419 0.852  0.07
Li 0.234 0.586 0.654  0.07
Li 0.932 0.081 0.846  0.07
Li 0.648 0.234 0.581  0.07
Li 0.414 0.766 0.846  0.07
Li 0.086 0.432 0.852  0.07
Li 0.419 0.266 0.352  0.07
Li 0.086 0.654 0.734  0.07
Li 0.648 0.414 0.568  0.07
Li 0.266 0.846 0.914  0.07

Properties
- Calculated density: 3094 kg/m³
- Size of the total moment: 49.832 Bohr magnetons per cell
- SG: No. 230
- ΔE_f: 0.8185 eV per atom
- VASP energy: -2.415 eV per atom

17.
Material: PrSm4Co2
Method: DFT, PBE
State: optimized geometry

a = 6.700 Å, b = 8.924 Å, c = 6.971 Å
α = 113.09°, β = 90.00°, γ = 90.00°
Fractional coordinates of all 14 atoms:
Pr 0.250 0.794 0.027
Pr 0.750 0.206 0.973
Co 0.250 0.337 0.961
Co 0.750 0.663 0.039
Co 0.750 0.337 0.376
Co 0.250 0.663 0.624
Sm 0.500 0.435 0.717
Sm 0.250 0.211 0.233
Sm 0.750 0.789 0.767
Sm 0.000 0.435 0.717
Sm 0.750 0.000 0.335
Sm 0.000 0.565 0.283
Sm 0.500 0.565 0.283
Sm 0.250 0.000 0.665

Properties
- Calculated density: 7452 kg/m³
- Size of the total moment: 0.000 Bohr magnetons per cell
- SG: No. 11
- ΔE_f: -0.0238 eV per atom
- VASP energy: -5.433 eV per atom

18.
Material: Sc2TaSb
Method: DFT, PBE
State: optimized geometry

a = 4.172 Å, b = 4.463 Å, c = 4.463 Å
α = 90.00°, β = 90.00°, γ = 90.00°
Fractional coordinates of all 4 atoms:
Sb 0.500 0.000 0.500
Sc 0.000 0.000 0.000
Sc 0.000 0.500 0.500
Ta 0.500 0.500 0.000

Properties
- Calculated density: 7846 kg/m³
- Raw formation energy: -0.230 eV per atom
- Size of the total moment: 0.000 Bohr magnetons per cell
- SG: No. 123
- VASP energy: -7.390 eV per atom

19.
Material: EuTmRu4
Method: DFT, PBE
State: optimized geometry

a = 5.352 Å, b = 5.352 Å, c = 5.352 Å
α = 60.00°, β = 60.00°, γ = 60.00°
Site moments in Bohr magnetons follow the coordinates.
Fractional coordinates of all 6 atoms:
Eu 0.000 0.000 0.000  6.63
Ru 0.625 0.625 0.126  -0.40
Ru 0.625 0.126 0.625  -0.40
Ru 0.625 0.625 0.625  -0.40
Ru 0.126 0.625 0.625  -0.40
Tm 0.250 0.250 0.250  0.11

Properties
- Calculated density: 11107 kg/m³
- Size of the total moment: 5.316 Bohr magnetons per cell
- SG: No. 216
- ΔE_f: -0.1202 eV per atom
- VASP energy: -8.762 eV per atom

20.
Material: YTlRu3
Method: DFT, PBE
State: optimized geometry

a = 4.954 Å, b = 4.954 Å, c = 4.954 Å
α = 90.00°, β = 90.00°, γ = 90.00°
Site moments in Bohr magnetons follow the coordinates.
Fractional coordinates of all 5 atoms:
Y 0.500 0.500 0.500  -0.11
Ru 0.000 0.500 0.000  1.45
Ru 0.000 0.000 0.500  1.59
Ru 0.500 0.000 0.000  0.94
Tl 0.000 0.000 0.000  -0.02

Properties
- Calculated density: 8145 kg/m³
- Size of the total moment: 3.905 Bohr magnetons per cell
- SG: No. 221
- ΔE_f: 1.5346 eV per atom
- VASP energy: -5.797 eV per atom
- Offset from the most stable computed form: 0.0 kJ/mol of formula units

21.
Material: Hg3TeBr
Method: DFT, PBE
State: optimized geometry

a = 5.642 Å, b = 5.642 Å, c = 5.642 Å
α = 90.00°, β = 90.00°, γ = 90.00°
Fractional coordinates of all 5 atoms:
Te 0.500 0.500 0.500
Hg 0.000 0.500 0.000
Hg 0.000 0.000 0.500
Hg 0.500 0.000 0.000
Br 0.000 0.000 0.000

Properties
- Calculated density: 7482 kg/m³
- Raw formation energy: 0.396 eV per atom
- Size of the total moment: 0.000 Bohr magnetons per cell
- SG: No. 221
- VASP energy: -0.748 eV per atom
- Offset from the most stable computed form: 248.0 kJ/mol of formula units

22.
Material: Ba3Sr3InAg2
Method: DFT, PBE
State: optimized geometry

a = 5.485 Å, b = 8.893 Å, c = 8.893 Å
α = 120.00°, β = 90.00°, γ = 90.00°
Fractional coordinates of all 9 atoms:
Ba 0.000 0.590 0.590
Ba 0.000 0.000 0.410
Ba 0.000 0.410 0.000
Sr 0.500 0.743 0.000
Sr 0.500 0.000 0.743
Sr 0.500 0.257 0.257
In 0.000 0.000 0.000
Ag 0.500 0.667 0.333
Ag 0.500 0.333 0.667

Properties
- Calculated density: 4444 kg/m³
- Size of the total moment: 0.002 Bohr magnetons per cell
- SG: No. 189
- ΔE_f: -0.2182 eV per atom
- VASP energy: -2.358 eV per atom

23.
Material: RbHg2PbBr6
Method: DFT, PBE
State: optimized geometry

a = 7.767 Å, b = 7.768 Å, c = 8.313 Å
α = 89.99°, β = 117.85°, γ = 120.01°
Fractional coordinates of all 10 atoms:
Rb 0.039 0.519 0.544
Hg 0.595 0.797 0.378
Hg 0.624 0.311 0.922
Pb 0.984 0.992 0.962
Br 0.564 0.991 0.677
Br 0.490 0.062 0.156
Br 0.743 0.679 0.155
Br 0.107 0.427 0.156
Br 0.700 0.572 0.677
Br 0.119 0.127 0.677

Properties
- Calculated density: 5326 kg/m³
- Raw formation energy: -0.779 eV per atom
- Size of the total moment: 0.000 Bohr magnetons per cell
- SG: No. 146
- VASP energy: -2.311 eV per atom